## Tl2CdSnS4 (GGA-PBE)

Data for a relaxed Tl2CdSnS4 crystal.

Cell lengths 7.1900, 7.2899, 7.0634 Å; angles 125.30, 124.85, 83.11 degrees
With the nearest neighbours (Å) after each atom.
Sites, in units of the cell vectors:
Tl  0.5438  0.0430  0.0866  4 S 3.08-3.17
Tl  0.2698  0.2693  0.5396  6 S 3.33-3.44
Cd  0.9893  0.4892  0.9784  4 S 2.54-2.61
Sn  0.7298  0.7299  0.4596  4 S 2.43
S  0.6712  0.6304  0.7003  1 Sn 2.43, 1 Cd 2.61
S  0.8117  0.4006  0.1522  1 Sn 2.43, 1 Cd 2.54
S  0.3409  0.7544  0.1555  1 Sn 2.43, 1 Cd 2.54
S  0.0306  0.0702  0.7020  1 Sn 2.43, 1 Cd 2.60

Values from the calculation:
total moment = 0.00 Bohr magnetons per cell
space group = No. 1
formation energy from raw total energies = -0.4393 eV per atom